Entry from Alexandria: an optimized crystal structure of TbNiRh2 (PBE).

abc: 5.0479 6.6171 4.2559
angles: 90.00 90.00 90.00
Closest atoms and distances in Å follow each position.
Space group Cmmm (No. 65)
Unique sites:
1 Tb 0.0000 0.0000 0.0000  2 Ni 2.52
2 Ni 0.0000 0.5000 0.0000  4 Rh 2.47, 2 Tb 2.52
3 Rh 0.0000 0.3092 0.5000  2 Ni 2.47, 3 Rh 2.52-2.64

- total moment (μB/f.u.) = 0.0
- ΔH_f (0 K) (eV per atom) = -0.180

***

Entry from Alexandria: an optimized crystal structure of Ti2Nb4Re (PBE).

abc: 2.8438 6.9866 7.0907
angles: 117.31 98.77 97.09
Closest atoms and distances in Å follow each position.
Space group P-1 (No. 2)
Unique sites:
1 Ti 0.2330 0.2740 0.3637  1 Re 2.65, 4 Nb 2.79-2.92, 3 Ti 2.84-2.89
2 Nb 0.0632 0.4263 0.7805  2 Ti 2.79-2.88, 1 Re 2.79, 5 Nb 2.81-2.89
3 Nb 0.3737 0.1392 0.9245  5 Nb 2.73-2.85, 2 Ti 2.79-2.92, 1 Re 2.80
4 Re 0.5000 0.0000 0.5000  2 Ti 2.65, 4 Nb 2.79-2.80, 2 Re 2.84

- total moment (μB/f.u.) = 0.0
- ΔH_f (0 K) (eV per atom) = -0.093

***

Entry from Alexandria: an optimized crystal structure of HfNiSn (PBE).

abc: 3.1763 3.1763 10.8627
angles: 90.00 90.00 90.00
Closest atoms and distances in Å follow each position.
Space group I4mm (No. 107)
Unique sites:
1 Hf 0.0000 0.0000 0.0000  4 Ni 2.68
2 Ni 0.0000 0.0000 0.3658  4 Hf 2.68, 4 Sn 2.83
3 Sn 0.0000 0.0000 0.7076  4 Ni 2.83

- total moment (μB/f.u.) = 0.0
- ΔH_f (0 K) (eV per atom) = -0.278